NbGaSN2 | Alexandria via LeMat-Bulk | PBE | optimized geometry; space-group type = P4/mmm; uncorrected formation energy = 0.9453 eV/atom; uncorrected energy = -5.830 eV per atom
1.0
3.794 0.000 0.000
0.000 3.794 0.000
0.000 0.000 4.756
Nb Ga S N
1 1 1 2
Direct
0.000 0.000 0.000 Nb
0.500 0.500 0.500 Ga
0.500 0.500 0.000 S
0.000 0.500 0.500 N
0.500 0.000 0.500 N

Mg6Al2Cd | Alexandria via LeMat-Bulk | PBE | optimized geometry; space-group type = C2/m; energy of formation = -0.015 eV/atom; uncorrected energy = -2.011 eV per atom
1.0
4.888 -2.164 0.000
4.888 2.164 0.000
-2.951 0.000 8.915
Mg Al Cd
6 2 1
Direct
0.008 0.008 0.343 Mg
0.323 0.323 0.764 Mg
0.336 0.336 0.114 Mg
0.664 0.664 0.886 Mg
0.677 0.677 0.236 Mg
0.992 0.992 0.657 Mg
0.338 0.338 0.448 Al
0.662 0.662 0.552 Al
0.000 0.000 0.000 Cd

TiPO2 | Alexandria via LeMat-Bulk | PBE | optimized geometry; space-group type = R-3m; uncorrected formation energy = -1.7397 eV/atom; uncorrected energy = -7.545 eV per atom
1.0
1.436 0.829 6.276
-1.436 0.829 6.276
0.000 -1.658 6.276
Ti P O
1 1 2
Direct
0.000 0.000 0.000 Ti
0.500 0.500 0.500 P
0.396 0.396 0.396 O
0.604 0.604 0.604 O

PrGd2Br | Alexandria via LeMat-Bulk | PBE | optimized geometry; space-group type = R-3m; uncorrected formation energy = -0.5517 eV/atom; uncorrected energy = -9.205 eV per atom
1.0
1.858 1.073 10.368
-1.858 1.073 10.368
0.000 -2.146 10.368
Pr Gd Br
1 2 1
Direct
0.000 0.000 0.000 Pr
0.241 0.241 0.241 Gd
0.759 0.759 0.759 Gd
0.500 0.500 0.500 Br

NaSr3Tb2Se6 | Alexandria via LeMat-Bulk | PBE | optimized geometry; space-group type = C2/m; uncorrected formation energy = -1.8727 eV/atom; uncorrected energy = -4.917 eV per atom
1.0
3.713 -6.426 0.000
3.713 6.426 0.000
-2.471 0.000 7.020
Na Sr Tb Se
1 3 2 6
Direct
0.000 0.000 0.000 Na
0.163 0.837 0.500 Sr
0.500 0.500 0.500 Sr
0.837 0.163 0.500 Sr
0.333 0.667 0.000 Tb
0.667 0.333 0.000 Tb
0.078 0.421 0.233 Se
0.266 0.266 0.770 Se
0.421 0.078 0.233 Se
0.579 0.922 0.767 Se
0.734 0.734 0.230 Se
0.922 0.579 0.767 Se

CaAlCu | Alexandria via LeMat-Bulk | PBE | optimized geometry; space-group type = I4mm; energy of formation = -0.147 eV/atom; uncorrected energy = -3.427 eV per atom
1.0
-1.668 1.668 5.411
1.668 -1.668 5.411
1.668 1.668 -5.411
Ca Al Cu
1 1 1
Direct
0.000 0.000 0.000 Ca
0.707 0.707 0.000 Al
0.302 0.302 0.000 Cu

CaHf3Fe | Alexandria via LeMat-Bulk | PBE | optimized geometry; space-group type = Pm-3m; energy of formation = 0.250 eV/atom; uncorrected energy = -7.815 eV per atom
1.0
4.911 0.000 0.000
0.000 4.911 0.000
0.000 0.000 4.911
Ca Hf Fe
1 3 1
Direct
0.000 0.000 0.000 Ca
0.000 0.500 0.500 Hf
0.500 0.000 0.500 Hf
0.500 0.500 0.000 Hf
0.500 0.500 0.500 Fe

Pm5Hg2Te2 | Alexandria via LeMat-Bulk | PBE | optimized geometry; space-group type = Cmce; uncorrected formation energy = -0.8387 eV/atom; uncorrected energy = -4.243 eV per atom
1.0
8.008 -4.167 0.000
8.008 4.167 0.000
0.000 0.000 8.131
Pm Hg Te
10 4 4
Direct
0.000 0.000 0.000 Pm
0.033 0.696 0.660 Pm
0.196 0.533 0.160 Pm
0.304 0.967 0.660 Pm
0.467 0.804 0.160 Pm
0.500 0.500 0.500 Pm
0.533 0.196 0.840 Pm
0.696 0.033 0.340 Pm
0.804 0.467 0.840 Pm
0.967 0.304 0.340 Pm
0.134 0.866 0.372 Hg
0.366 0.634 0.872 Hg
0.634 0.366 0.128 Hg
0.866 0.134 0.628 Hg
0.200 0.200 0.000 Te
0.300 0.300 0.500 Te
0.700 0.700 0.500 Te
0.800 0.800 0.000 Te

RbTbSm2 | Alexandria via LeMat-Bulk | PBE | optimized geometry; space-group type = R-3m; energy of formation = 0.262 eV/atom; uncorrected energy = -3.497 eV per atom
1.0
1.835 1.059 13.431
-1.835 1.059 13.431
0.000 -2.118 13.431
Rb Tb Sm
1 1 2
Direct
0.000 0.000 0.000 Rb
0.500 0.500 0.500 Tb
0.096 0.096 0.096 Sm
0.904 0.904 0.904 Sm

Ba8AgHg2Rh | Alexandria via LeMat-Bulk | PBE | optimized geometry; space-group type = P2/m; energy of formation = -0.242 eV/atom; uncorrected energy = -2.424 eV per atom
1.0
7.814 0.000 0.000
0.000 9.648 0.000
-0.098 0.000 8.117
Ba Ag Hg Rh
8 1 2 1
Direct
0.228 0.000 0.189 Ba
0.231 0.231 0.656 Ba
0.231 0.769 0.656 Ba
0.254 0.500 0.166 Ba
0.746 0.500 0.834 Ba
0.769 0.231 0.344 Ba
0.769 0.769 0.344 Ba
0.772 0.000 0.811 Ba
0.000 0.500 0.500 Ag
0.500 0.237 0.000 Hg
0.500 0.763 0.000 Hg
0.000 0.000 0.500 Rh

HoTm5Bi6 | Alexandria via LeMat-Bulk | PBE | optimized geometry; space-group type = C2/m; energy of formation = -0.791 eV/atom; uncorrected energy = -4.976 eV per atom
1.0
3.842 -6.653 0.000
3.842 6.653 0.000
-2.560 0.000 7.242
Ho Tm Bi
1 5 6
Direct
0.000 0.000 0.000 Ho
0.166 0.834 0.500 Tm
0.333 0.667 0.000 Tm
0.500 0.500 0.500 Tm
0.667 0.333 0.000 Tm
0.834 0.166 0.500 Tm
0.084 0.418 0.251 Bi
0.252 0.252 0.750 Bi
0.418 0.084 0.251 Bi
0.582 0.916 0.749 Bi
0.748 0.748 0.250 Bi
0.916 0.582 0.749 Bi

NaCeIn2Cl6 | Alexandria via LeMat-Bulk | PBE | optimized geometry; space-group type = C2/m; uncorrected formation energy = -1.5680 eV/atom; uncorrected energy = -3.949 eV per atom
1.0
6.586 -3.817 0.000
6.586 3.817 0.000
-4.515 0.000 6.284
Na Ce In Cl
1 1 2 6
Direct
0.000 0.000 0.000 Na
0.500 0.500 0.500 Ce
0.254 0.254 0.787 In
0.746 0.746 0.213 In
0.187 0.685 0.190 Cl
0.255 0.255 0.364 Cl
0.315 0.813 0.810 Cl
0.685 0.187 0.190 Cl
0.745 0.745 0.636 Cl
0.813 0.315 0.810 Cl

La4SmU3N8 | Alexandria via LeMat-Bulk | PBE | optimized geometry; space-group type = R-3m; uncorrected formation energy = -1.4110 eV/atom; uncorrected energy = -9.217 eV per atom
1.0
3.558 2.054 5.933
-3.558 2.054 5.933
0.000 -4.108 5.933
La Sm U N
4 1 3 8
Direct
0.000 0.000 0.000 La
0.000 0.500 0.500 La
0.500 0.000 0.500 La
0.500 0.500 0.000 La
0.500 0.500 0.500 Sm
0.000 0.000 0.500 U
0.000 0.500 0.000 U
0.500 0.000 0.000 U
0.209 0.746 0.746 N
0.232 0.232 0.232 N
0.254 0.254 0.791 N
0.254 0.791 0.254 N
0.746 0.209 0.746 N
0.746 0.746 0.209 N
0.768 0.768 0.768 N
0.791 0.254 0.254 N

Ac2CeTe | Alexandria via LeMat-Bulk | PBE | optimized geometry; space-group type = P4/mmm; uncorrected formation energy = -0.4128 eV/atom; uncorrected energy = -4.736 eV per atom
1.0
5.245 0.000 0.000
0.000 5.245 0.000
0.000 0.000 4.909
Ac Ce Te
2 1 1
Direct
0.000 0.500 0.000 Ac
0.500 0.000 0.000 Ac
0.000 0.000 0.500 Ce
0.500 0.500 0.500 Te

KZnRu | Alexandria via LeMat-Bulk | PBE | optimized geometry; space-group type = P3m1; energy of formation = 0.741 eV/atom; uncorrected energy = -3.142 eV per atom
1.0
2.881 0.000 0.000
-1.440 2.495 0.000
0.000 0.000 7.941
K Zn Ru
1 1 1
Direct
0.000 0.000 0.000 K
0.333 0.667 0.614 Zn
0.667 0.333 0.352 Ru